This record from Alexandria describes a PBEsol-optimized structure of MgMn2Hg. The functional is SCAN.

For the energy relative to the lowest polymorph listed for this composition, the calculation gives 62 meV per atom. The raw total energy comes out at -109.89 eV/f.u. The density of states at the Fermi level is 2.67 states/eV per cell.

Cell lengths 4.9991, 4.9991, 4.9991 Å; angles 133.21, 133.21, 68.33 degrees
Last column: nearest neighbours and their distance in Å.
Fractional coordinates of all 4 atoms:
Mg (0.0000, 0.0000, 0.0000)  8 Mn 2.81-2.87, 4 Hg 2.87
Mn (0.5000, 0.5000, 0.0000)  4 Mg 2.81, 4 Hg 2.87, 4 Mn 2.87
Mn (0.7500, 0.2500, 0.5000)  4 Hg 2.81, 4 Mn 2.87, 4 Mg 2.87
Hg (0.2500, 0.7500, 0.5000)  8 Mn 2.81-2.87, 4 Mg 2.87